(1)
First-principles (GGA-PBE) data for crystalline PbAuBr2 at its relaxed geometry, as listed in Alexandria.

a = 4.356 Å, b = 5.758 Å, c = 4.309 Å
α = 90.00°, β = 90.00°, γ = 90.00°
Element x y z (fractional)
Pb: 0.500 0.000 0.500
Br: 0.000 0.000 0.000
Br: 0.500 0.500 0.000
Au: 0.000 0.500 0.500

Results
- E_form (uncorrected) (eV/atom) = -0.082
- crystal system = orthorhombic


(2)
First-principles (GGA-PBE) data for crystalline ZnIn2Sn at its relaxed geometry, as listed in Alexandria.

a = 3.333 Å, b = 3.333 Å, c = 8.781 Å
α = 90.00°, β = 90.00°, γ = 90.00°
Element x y z (fractional)
In: 0.000 0.000 0.776
In: 0.000 0.000 0.224
Zn: 0.500 0.500 0.000
Sn: 0.500 0.500 0.500

Results
- crystal system = tetragonal


(3)
First-principles (GGA-PBE) data for crystalline TbDyAlPd at its relaxed geometry, as listed in Alexandria.

a = 5.069 Å, b = 5.069 Å, c = 5.069 Å
α = 60.00°, β = 60.00°, γ = 60.00°
Element x y z (fractional)
Dy: 0.250 0.250 0.250
Tb: 0.750 0.750 0.750
Al: 0.500 0.500 0.500
Pd: 0.000 0.000 0.000

Results
- crystal system = cubic


(4)
First-principles (GGA-PBE) data for crystalline Sm5Rh2 at its relaxed geometry, as listed in Alexandria.

a = 6.520 Å, b = 7.245 Å, c = 8.947 Å
α = 96.68°, β = 111.41°, γ = 90.00°
Element x y z (fractional)
Sm: 0.798 0.581 0.811
Sm: 0.202 0.419 0.189
Sm: 0.211 0.687 0.566
Sm: 0.644 0.813 0.434
Sm: 0.426 0.750 0.000
Sm: 0.789 0.313 0.434
Sm: 0.987 0.919 0.189
Sm: 0.013 0.081 0.811
Sm: 0.574 0.250 0.000
Sm: 0.356 0.187 0.566
Rh: 0.814 0.576 0.223
Rh: 0.591 0.924 0.777
Rh: 0.186 0.424 0.777
Rh: 0.409 0.076 0.223

Results
- crystal system = monoclinic


Uncorrected energy readings, ordered: -2.664; -2.615; -5.113; -5.990 eV/atom
N(E_F) readings, ordered: 1.39; 1.91; 3.14; 14.80 states/eV per cell